[1]
Entry from the Alexandria database: a relaxed CsSbH2Pt crystal (GGA-PBE).

Calculated values
Calculated volume: 22.5 Å³ per atom
Crystal system: triclinic
Offset from the most stable computed form: 143.3 meV per atom

Geometry as POSCAR:
```
CsSbH2Pt
1.0
3.389 0.000 0.000
1.643 5.044 0.000
1.572 1.962 6.570
Cs Sb H Pt
1 1 2 1
Cartesian
0.000 0.000 0.000 Cs
3.203 2.718 2.768 Sb
3.193 4.700 4.726 H
4.882 6.060 3.985 H
4.894 4.351 4.038 Pt
```

[2]
Entry from the Alexandria database: a relaxed CsSbH2Pt crystal (GGA-PBE).

Calculated values
Calculated volume: 20.8 Å³ per atom
Crystal system: monoclinic
Offset from the most stable computed form: 33.7 meV per atom

Geometry as POSCAR:
```
CsSbH2Pt
1.0
7.101 -1.933 0.000
7.101 1.933 0.000
-0.035 0.000 3.781
Cs Sb H Pt
1 1 2 1
Cartesian
0.000 0.000 0.000 Cs
10.415 0.000 3.752 Sb
2.519 0.000 1.863 H
5.855 0.000 1.879 H
4.148 0.000 1.869 Pt
```

[3]
Entry from the Alexandria database: a relaxed CsScH2Pt crystal (GGA-PBE).

Calculated values
Calculated volume: 23.6 Å³ per atom
Crystal system: tetragonal

Geometry as POSCAR:
```
CsScH2Pt
1.0
4.110 0.000 0.000
0.000 4.110 0.000
0.000 0.000 6.974
Cs Sc H Pt
1 1 2 1
Cartesian
0.000 0.000 0.000 Cs
0.000 0.000 3.487 Sc
0.000 2.055 3.487 H
2.055 0.000 3.487 H
2.055 2.055 0.000 Pt
```

[4]
Entry from the Alexandria database: a relaxed CsHPtSe2 crystal (GGA-PBE).

Calculated values
Calculated volume: 21.8 Å³ per atom
Crystal system: tetragonal

Geometry as POSCAR:
```
CsHPtSe2
1.0
5.454 0.000 0.000
0.000 5.454 0.000
0.000 0.000 3.661
Cs H Pt Se
1 1 1 2
Cartesian
0.000 0.000 0.000 Cs
2.727 2.727 0.000 H
2.727 2.727 1.830 Pt
0.000 2.727 1.830 Se
2.727 0.000 1.830 Se
```

[5]
Entry from the Alexandria database: a relaxed Cs2HPtSe crystal (GGA-PBE).

Calculated values
Calculated volume: 44.8 Å³ per atom
Crystal system: tetragonal

Geometry as POSCAR:
```
Cs2HPtSe
1.0
6.980 0.000 0.000
0.000 6.980 0.000
0.000 0.000 4.600
Cs H Pt Se
2 1 1 1
Cartesian
0.000 3.490 0.000 Cs
3.490 0.000 0.000 Cs
0.000 0.000 2.300 H
3.490 3.490 2.300 Pt
3.490 3.490 0.000 Se
```

[6]
Entry from the Alexandria database: a relaxed CsSmH6Pt2 crystal (GGA-PBE).

Calculated values
Calculated volume: 15.1 Å³ per atom
Crystal system: monoclinic

Geometry as POSCAR:
```
CsSmH6Pt2
1.0
4.610 -4.568 0.000
4.610 4.568 0.000
-2.902 0.000 7.155
Cs Sm H Pt
2 2 12 4
Cartesian
2.433 3.749 5.366 Cs
3.884 -3.749 1.789 Cs
3.884 0.540 1.789 Sm
2.433 -0.540 5.366 Sm
2.977 2.689 1.790 H
0.604 0.846 4.743 H
4.791 2.689 1.787 H
1.621 1.295 6.867 H
2.055 -0.846 1.166 H
3.245 1.295 3.865 H
3.072 -1.295 3.290 H
4.261 0.846 5.990 H
4.696 -1.295 0.288 H
1.525 -2.689 5.368 H
5.713 -0.846 2.412 H
3.340 -2.689 5.365 H
0.108 1.586 6.164 Pt
1.560 -1.586 2.586 Pt
4.757 1.586 4.569 Pt
6.209 -1.586 0.992 Pt
```

[7]
Entry from the Alexandria database: a relaxed CsSnH2Pt crystal (GGA-PBE).

Calculated values
Calculated volume: 20.8 Å³ per atom
Crystal system: tetragonal

Geometry as POSCAR:
```
CsSnH2Pt
1.0
4.443 0.000 0.000
0.000 4.443 0.000
0.000 0.000 5.269
Cs Sn H Pt
1 1 2 1
Cartesian
0.000 0.000 0.000 Cs
2.222 2.222 2.635 Sn
0.000 2.222 2.635 H
2.222 0.000 2.635 H
2.222 2.222 0.000 Pt
```

[8]
Entry from the Alexandria database: a relaxed Cs2Te2H4Pt crystal (GGA-PBE).

Calculated values
Calculated volume: 25.9 Å³ per atom
Crystal system: tetragonal

Geometry as POSCAR:
```
Cs2Te2H4Pt
1.0
-3.738 3.738 4.166
3.738 -3.738 4.166
3.738 3.738 -4.166
Cs Te H Pt
2 2 4 1
Cartesian
3.738 0.000 2.083 Cs
0.000 3.738 2.083 Cs
0.000 0.000 1.445 Te
0.000 0.000 6.887 Te
2.560 2.560 0.000 H
1.178 -1.178 4.166 H
-1.178 1.178 4.166 H
1.178 1.178 4.166 H
0.000 0.000 4.166 Pt
```

[9]
Entry from the Alexandria database: a relaxed CsTlH2Pt crystal (GGA-PBE).

Calculated values
Calculated volume: 23.3 Å³ per atom
Crystal system: tetragonal

Geometry as POSCAR:
```
CsTlH2Pt
1.0
4.182 0.000 0.000
0.000 4.182 0.000
0.000 0.000 6.650
Cs Tl H Pt
1 1 2 1
Cartesian
0.000 0.000 0.000 Cs
2.091 2.091 3.325 Tl
0.000 2.091 0.000 H
2.091 0.000 0.000 H
0.000 0.000 3.325 Pt
```

[10]
Entry from the Alexandria database: a relaxed Cs2TlH6Pt crystal (GGA-PBE).

Calculated values
Calculated volume: 23.2 Å³ per atom
Crystal system: trigonal

Geometry as POSCAR:
```
Cs2TlH6Pt
1.0
6.154 0.000 0.000
-3.077 5.329 0.000
0.000 0.000 7.088
Cs Tl H Pt
2 1 6 1
Cartesian
0.000 3.553 2.165 Cs
3.077 1.776 4.922 Cs
0.000 0.000 0.000 Tl
0.000 1.348 4.521 H
-1.909 4.655 4.521 H
1.167 0.674 2.566 H
1.909 4.655 4.521 H
4.986 0.674 2.566 H
3.077 3.981 2.566 H
0.000 0.000 3.544 Pt
```

[11]
Entry from the Alexandria database: a relaxed CsZnH6Pt crystal (GGA-PBE).

Calculated values
Calculated volume: 13.8 Å³ per atom
Crystal system: trigonal

Geometry as POSCAR:
```
CsZnH6Pt
1.0
4.734 0.000 0.000
-2.367 4.100 0.000
0.000 0.000 6.391
Cs Zn H Pt
1 1 6 1
Cartesian
0.000 0.000 0.000 Cs
0.000 2.733 3.196 Zn
1.878 0.110 4.248 H
1.034 1.571 2.143 H
2.856 0.110 2.143 H
1.523 2.419 4.248 H
3.700 1.571 4.248 H
3.211 2.419 2.143 H
2.367 1.367 3.196 Pt
```

[12]
Entry from the Alexandria database: a relaxed Cs2PuH4 crystal (GGA-PBE).

Calculated values
Calculated volume: 23.8 Å³ per atom
Crystal system: tetragonal

Geometry as POSCAR:
```
Cs2PuH4
1.0
-2.295 2.295 7.894
2.295 -2.295 7.894
2.295 2.295 -7.894
Cs Pu H
2 1 4
Cartesian
0.000 0.000 2.411 Cs
0.000 0.000 13.378 Cs
0.000 0.000 7.894 Pu
2.295 0.000 0.000 H
0.000 0.000 5.558 H
0.000 2.295 0.000 H
0.000 0.000 10.230 H
```

[13]
Entry from the Alexandria database: a relaxed CsPuHSe3 crystal (GGA-PBE).

Calculated values
Calculated volume: 29.9 Å³ per atom
Crystal system: orthorhombic

Geometry as POSCAR:
```
CsPuHSe3
1.0
2.162 -8.163 0.000
2.162 8.163 0.000
0.000 0.000 10.173
Cs Pu H Se
2 2 2 6
Cartesian
2.162 4.294 7.630 Cs
2.162 -4.294 2.543 Cs
2.162 0.000 0.000 Pu
2.162 0.000 5.086 Pu
2.162 6.503 2.543 H
2.162 -6.503 7.630 H
2.162 6.403 0.766 Se
2.162 6.403 4.321 Se
2.162 0.999 2.543 Se
2.162 -0.999 7.630 Se
2.162 -6.403 5.852 Se
2.162 -6.403 9.407 Se
```

[14]
Entry from the Alexandria database: a relaxed CsRbH3 crystal (GGA-PBE).

Calculated values
Calculated volume: 28.4 Å³ per atom
Crystal system: cubic

Geometry as POSCAR:
```
CsRbH3
1.0
5.220 0.000 0.000
0.000 5.220 0.000
0.000 0.000 5.220
Cs Rb H
1 1 3
Cartesian
0.000 0.000 0.000 Cs
2.610 2.610 2.610 Rb
0.000 2.610 2.610 H
2.610 0.000 2.610 H
2.610 2.610 0.000 H
```

[15]
Entry from the Alexandria database: a relaxed Cs3Rb2H4 crystal (GGA-PBE).

Calculated values
Calculated volume: 35.9 Å³ per atom
Crystal system: monoclinic

Geometry as POSCAR:
```
Cs3Rb2H4
1.0
7.588 -2.234 0.000
7.588 2.234 0.000
-5.809 0.000 9.530
Cs Rb H
3 2 4
Cartesian
0.000 0.000 0.000 Cs
-1.632 0.000 7.635 Cs
10.999 0.000 1.894 Cs
2.342 0.000 5.837 Rb
7.025 0.000 3.693 Rb
1.239 0.000 2.960 H
5.539 0.000 0.951 H
3.827 0.000 8.579 H
8.128 0.000 6.570 H
```

[16]
Entry from the Alexandria database: a relaxed CsRb3H crystal (GGA-PBE).

Calculated values
Calculated volume: 64.1 Å³ per atom
Crystal system: cubic

Geometry as POSCAR:
```
CsRb3H
1.0
6.842 0.000 0.000
0.000 6.842 0.000
0.000 0.000 6.842
Cs Rb H
1 3 1
Cartesian
0.000 0.000 0.000 Cs
0.000 3.421 3.421 Rb
3.421 0.000 3.421 Rb
3.421 3.421 0.000 Rb
3.421 3.421 3.421 H
```

[17]
Entry from the Alexandria database: a relaxed Cs4RbH2 crystal (GGA-PBE).

Calculated values
Calculated volume: 83.4 Å³ per atom
Crystal system: tetragonal

Geometry as POSCAR:
```
Cs4RbH2
1.0
-3.912 3.912 9.532
3.912 -3.912 9.532
3.912 3.912 -9.532
Cs Rb H
4 1 2
Cartesian
3.912 0.000 0.000 Cs
0.000 0.000 4.363 Cs
0.000 3.912 0.000 Cs
0.000 0.000 14.700 Cs
0.000 0.000 9.532 Rb
0.000 0.000 1.653 H
0.000 0.000 17.411 H
```

[18]
Entry from the Alexandria database: a relaxed Cs6Rb3H crystal (GGA-PBE).

Calculated values
Calculated volume: 93.1 Å³ per atom
Crystal system: orthorhombic

Geometry as POSCAR:
```
Cs6Rb3H
1.0
8.283 -12.791 0.000
8.283 12.791 0.000
0.000 0.000 8.783
Cs Rb H
12 6 2
Cartesian
8.283 10.473 4.392 Cs
5.819 6.416 3.434 Cs
8.283 6.644 7.433 Cs
5.579 2.149 0.008 Cs
10.748 6.416 3.434 Cs
5.579 -2.149 4.400 Cs
10.988 2.149 0.008 Cs
5.819 -6.416 7.825 Cs
10.988 -2.149 4.400 Cs
8.283 -6.644 3.041 Cs
10.748 -6.416 7.825 Cs
8.283 -10.473 0.000 Cs
2.827 2.058 4.427 Rb
2.827 -2.058 0.036 Rb
8.283 2.013 4.431 Rb
8.283 -2.013 0.040 Rb
13.739 2.058 4.427 Rb
13.739 -2.058 0.036 Rb
8.283 7.523 4.629 H
8.283 -7.523 0.237 H
```

[19]
Entry from the Alexandria database: a relaxed CsRb5H6 crystal (GGA-PBE).

Calculated values
Calculated volume: 27.8 Å³ per atom
Crystal system: monoclinic

Geometry as POSCAR:
```
CsRb5H6
1.0
3.713 -6.430 0.000
3.713 6.430 0.000
-2.475 0.000 6.984
Cs Rb H
1 5 6
Cartesian
0.000 0.000 0.000 Cs
2.475 4.275 3.492 Rb
3.713 2.143 0.000 Rb
2.475 0.000 3.492 Rb
3.713 -2.143 0.000 Rb
2.475 -4.275 3.492 Rb
1.277 2.210 1.773 H
0.076 0.000 5.193 H
1.277 -2.210 1.773 H
3.673 2.210 5.211 H
4.875 0.000 1.791 H
3.673 -2.210 5.211 H
```

[20]
Entry from the Alexandria database: a relaxed Cs8RbH2 crystal (GGA-PBE).

Calculated values
Calculated volume: 76.7 Å³ per atom
Crystal system: orthorhombic

Geometry as POSCAR:
```
Cs8RbH2
1.0
-3.505 7.625 7.888
3.505 -7.625 7.888
3.505 7.625 -7.888
Cs Rb H
8 1 2
Cartesian
0.000 0.000 2.224 Cs
3.505 2.557 0.000 Cs
3.505 -2.778 5.545 Cs
0.000 4.847 2.343 Cs
3.505 2.778 5.545 Cs
0.000 10.403 2.343 Cs
0.000 5.068 7.888 Cs
0.000 0.000 13.552 Cs
0.000 0.000 7.888 Rb
0.000 2.388 0.000 H
0.000 12.863 0.000 H
```

[21]
Entry from the Alexandria database: a relaxed CsRb2H crystal (GGA-PBE).

Calculated values
Calculated volume: 64.5 Å³ per atom
Crystal system: cubic

Geometry as POSCAR:
```
CsRb2H
1.0
0.000 5.052 5.052
5.052 0.000 5.052
5.052 5.052 0.000
Cs Rb H
1 2 1
Cartesian
0.000 0.000 0.000 Cs
2.526 2.526 2.526 Rb
7.578 7.578 7.578 Rb
5.052 5.052 5.052 H
```

[22]
Entry from the Alexandria database: a relaxed Cs8Rb2H crystal (GGA-PBE).

Calculated values
Calculated volume: 99.4 Å³ per atom
Crystal system: monoclinic

Geometry as POSCAR:
```
Cs8Rb2H
1.0
4.572 -8.767 0.000
4.572 8.767 0.000
-3.386 0.000 13.643
Cs Rb H
8 2 1
Cartesian
4.572 5.600 0.000 Cs
-0.984 0.000 11.823 Cs
2.788 2.539 4.175 Cs
2.970 2.539 9.469 Cs
2.788 -2.539 4.175 Cs
2.970 -2.539 9.469 Cs
6.742 0.000 1.820 Cs
4.572 -5.600 0.000 Cs
2.879 6.565 6.822 Rb
2.879 -6.565 6.822 Rb
0.000 0.000 0.000 H
```

[23]
Entry from the Alexandria database: a relaxed Cs4RbH crystal (GGA-PBE).

Calculated values
Calculated volume: 87.4 Å³ per atom
Crystal system: tetragonal

Geometry as POSCAR:
```
Cs4RbH
1.0
-5.819 5.819 3.871
5.819 -5.819 3.871
5.819 5.819 -3.871
Cs Rb H
4 1 1
Cartesian
4.788 2.175 -0.239 Cs
3.644 -1.031 4.110 Cs
2.175 6.849 0.239 Cs
1.031 3.644 3.632 Cs
0.000 0.000 0.000 Rb
0.000 5.819 1.935 H
```

[24]
Entry from the Alexandria database: a relaxed Cs6RbH crystal (GGA-PBE).

Calculated values
Calculated volume: 88.6 Å³ per atom
Crystal system: trigonal

Geometry as POSCAR:
```
Cs6RbH
1.0
4.869 2.811 8.636
-4.869 2.811 8.636
0.000 -5.622 8.636
Cs Rb H
6 1 1
Cartesian
-2.346 -1.355 11.074 Cs
0.000 -2.709 14.833 Cs
-2.346 1.355 14.833 Cs
2.346 -1.355 11.074 Cs
0.000 2.709 11.074 Cs
2.346 1.355 14.833 Cs
0.000 0.000 0.000 Rb
0.000 0.000 12.954 H
```

Let's list total energy in order: -18.36, -18.90, -16.97, -17.43, -15.43, -83.53, -16.51, -29.94, -11.41, -32.50, -29.44, -30.07, -69.35, -10.11, -18.88, -6.70, -9.03, -23.02, -27.84, -14.58, -4.56, -11.73, -7.87, -9.27 eV/cell.